This record from the Alexandria database describes crystalline Hf2Sc2In3 at its relaxed geometry. The functional is PBE.

Lattice parameters (Å, degrees): 4.661 21.583 3.124 90.00 90.00 90.00
Space group Cmmm (No. 65)
One atom of each set of equivalent atoms:
Hf1 0.000 0.210 0.000 [4 per cell]
Sc1 0.000 0.072 0.000 [4 per cell]
In1 0.000 0.349 0.500 [4 per cell]
In2 0.000 0.500 0.500 [2 per cell]

Computed properties:
- formation energy from the elements (eV per atom) = -0.15
- DFT total energy (eV/atom) = -5.977


This record from the Alexandria database describes crystalline Hf2ScIn2 at its relaxed geometry. The functional is PBE.

Lattice parameters (Å, degrees): 8.654 8.654 3.134 90.00 90.00 90.00
Space group P4/mbm (No. 127)
One atom of each set of equivalent atoms:
Hf1 0.122 0.378 0.000 [4 per cell]
Sc1 0.000 0.000 0.000 [2 per cell]
In1 0.175 0.675 0.500 [4 per cell]

Computed properties:
- formation energy from the elements (eV per atom) = 0.05
- DFT total energy (eV/atom) = -6.298


This record from the Alexandria database describes crystalline Hf5ScIn6 at its relaxed geometry. The functional is PBE.

Lattice parameters (Å, degrees): 10.240 9.464 5.673 90.00 98.41 90.00
Space group C2/m (No. 12)
One atom of each set of equivalent atoms:
Hf1 0.000 0.000 0.000 [2 per cell]
Hf2 0.000 0.161 0.500 [4 per cell]
Hf3 0.000 0.329 0.000 [4 per cell]
Sc1 0.000 0.500 0.500 [2 per cell]
In1 0.248 0.500 0.243 [4 per cell]
In2 0.249 0.332 0.748 [8 per cell]

Computed properties:
- formation energy from the elements (eV per atom) = -0.08
- DFT total energy (eV/atom) = -6.125


This record from the Alexandria database describes crystalline HfScIn2 at its relaxed geometry. The functional is PBE.

Lattice parameters (Å, degrees): 3.157 3.157 8.837 90.00 90.00 90.00
Space group P4/mmm (No. 123)
One atom of each set of equivalent atoms:
Hf1 0.000 0.000 0.000 [1 per cell]
Sc1 0.000 0.000 0.500 [1 per cell]
In1 0.500 0.500 0.249 [2 per cell]

Computed properties:
- formation energy from the elements (eV per atom) = -0.29
- DFT total energy (eV/atom) = -5.731


This record from the Alexandria database describes crystalline HfSc2In3 at its relaxed geometry. The functional is PBE.

Lattice parameters (Å, degrees): 3.170 3.170 13.226 90.00 90.00 90.00
Space group P4/mmm (No. 123)
One atom of each set of equivalent atoms:
Hf1 0.000 0.000 0.000 [1 per cell]
Sc1 0.000 0.000 0.332 [2 per cell]
In1 0.500 0.500 0.165 [2 per cell]
In2 0.500 0.500 0.500 [1 per cell]

Computed properties:
- formation energy from the elements (eV per atom) = -0.34
- DFT total energy (eV/atom) = -5.476


This record from the Alexandria database describes crystalline HfScIn6 at its relaxed geometry. The functional is PBE.

Lattice parameters (Å, degrees): 4.499 4.499 9.057 90.00 90.00 90.00
Space group P4/mmm (No. 123)
One atom of each set of equivalent atoms:
Hf1 0.000 0.000 0.000 [1 per cell]
Sc1 0.000 0.000 0.500 [1 per cell]
In1 0.000 0.500 0.249 [4 per cell]
In2 0.500 0.500 0.000 [1 per cell]
In3 0.500 0.500 0.500 [1 per cell]

Computed properties:
- formation energy from the elements (eV per atom) = -0.17
- DFT total energy (eV/atom) = -4.259


This record from the Alexandria database describes crystalline Hf2ScInSe at its relaxed geometry. The functional is PBE.

Lattice parameters (Å, degrees): 5.312 5.312 5.259 90.00 90.00 90.00
Space group P4/mmm (No. 123)
One atom of each set of equivalent atoms:
Hf1 0.000 0.500 0.000 [2 per cell]
Sc1 0.000 0.000 0.500 [1 per cell]
In1 0.500 0.500 0.000 [1 per cell]
Se1 0.500 0.500 0.500 [1 per cell]

Computed properties:
- DFT total energy (eV/atom) = -5.398


This record from the Alexandria database describes crystalline Hf2ScInSn at its relaxed geometry. The functional is PBE.

Lattice parameters (Å, degrees): 5.233 5.233 5.163 90.00 90.00 90.00
Space group P4/mmm (No. 123)
One atom of each set of equivalent atoms:
Hf1 0.000 0.500 0.000 [2 per cell]
Sc1 0.000 0.000 0.500 [1 per cell]
In1 0.000 0.000 0.000 [1 per cell]
Sn1 0.500 0.500 0.500 [1 per cell]

Computed properties:
- formation energy from the elements (eV per atom) = 0.72
- DFT total energy (eV/atom) = -5.872


This record from the Alexandria database describes crystalline HfSc2TaIn at its relaxed geometry. The functional is PBE.

Lattice parameters (Å, degrees): 5.163 5.163 4.981 90.00 90.00 90.00
Space group P4/mmm (No. 123)
One atom of each set of equivalent atoms:
Hf1 0.000 0.000 0.000 [1 per cell]
Sc1 0.000 0.500 0.000 [2 per cell]
Ta1 0.000 0.000 0.500 [1 per cell]
In1 0.500 0.500 0.500 [1 per cell]

Computed properties:
- formation energy from the elements (eV per atom) = 1.05
- DFT total energy (eV/atom) = -6.389


This record from the Alexandria database describes crystalline HfScInTc at its relaxed geometry. The functional is PBE.

Lattice parameters (Å, degrees): 6.768 6.768 6.768 90.00 90.00 90.00
Space group F-43m (No. 216)
One atom of each set of equivalent atoms:
Hf1 0.000 0.000 0.000 [4 per cell]
Sc1 0.000 0.000 0.500 [4 per cell]
In1 0.250 0.250 0.250 [4 per cell]
Tc1 0.250 0.250 0.750 [4 per cell]

Computed properties:
- formation energy from the elements (eV per atom) = -0.26
- DFT total energy (eV/atom) = -7.612


This record from the Alexandria database describes crystalline Hf2ZrScIn at its relaxed geometry. The functional is PBE.

Lattice parameters (Å, degrees): 5.175 5.175 5.082 90.00 90.00 90.00
Space group P4/mmm (No. 123)
One atom of each set of equivalent atoms:
Hf1 0.000 0.500 0.000 [2 per cell]
Zr1 0.000 0.000 0.000 [1 per cell]
Sc1 0.000 0.000 0.500 [1 per cell]
In1 0.500 0.500 0.500 [1 per cell]

Computed properties:
- formation energy from the elements (eV per atom) = 0.97
- DFT total energy (eV/atom) = -6.533


This record from the Alexandria database describes crystalline Hf2InSe at its relaxed geometry. The functional is PBE.

Lattice parameters (Å, degrees): 4.264 4.264 20.390 90.00 90.00 90.00
Space group I-42d (No. 122)
One atom of each set of equivalent atoms:
Hf1 0.248 0.250 0.125 [8 per cell]
In1 0.000 0.000 0.500 [4 per cell]
Se1 0.000 0.000 0.000 [4 per cell]

Computed properties:
- DFT total energy (eV/atom) = -6.493